1.
Gd2AgRh after structural relaxation, computed with PBE-GGA. Values from VASP.

Geometry as Quantum ESPRESSO input:
```
&SYSTEM
  ibrav = 0, nat = 4, ntyp = 3
/
ATOMIC_SPECIES
Gd 157.25 Gd.upf
Ag 107.87 Ag.upf
Rh 102.91 Rh.upf
ATOMIC_POSITIONS crystal
Gd 0.000 0.000 0.228
Gd 0.000 0.000 0.772
Ag 0.500 0.500 0.500
Rh 0.500 0.500 0.000
CELL_PARAMETERS angstrom
3.535 0.000 0.000
0.000 3.535 0.000
0.000 0.000 7.299
```

- ρ (kg/m3) = 9562
- ΔE to the lowest computed polymorph (eV per atom) = 0.0000
- crystal system = tetragonal
- volume (Å³ per atom) = 22.805
- uncorrected energy (eV for the cell shown) = -40.58


2.
ZrPaCd after structural relaxation, computed with PBE-GGA. Values from VASP.

Geometry as Quantum ESPRESSO input:
```
&SYSTEM
  ibrav = 0, nat = 3, ntyp = 3
/
ATOMIC_SPECIES
Zr 91.22 Zr.upf
Pa 231.04 Pa.upf
Cd 112.41 Cd.upf
ATOMIC_POSITIONS crystal
Zr 0.000 0.000 0.000
Pa 0.664 0.664 0.000
Cd 0.341 0.341 0.000
CELL_PARAMETERS angstrom
-1.545 1.545 7.389
1.545 -1.545 7.389
1.545 1.545 -7.389
```

- ρ (kg/m3) = 10234
- ΔE to the lowest computed polymorph (eV per atom) = 0.0000
- crystal system = tetragonal
- volume (Å³ per atom) = 23.509
- uncorrected energy (eV for the cell shown) = -19.00


3.
Ac4Zn3Au after structural relaxation, computed with PBE-GGA. Values from VASP.

Geometry as Quantum ESPRESSO input:
```
&SYSTEM
  ibrav = 0, nat = 8, ntyp = 3
/
ATOMIC_SPECIES
Ac 227.00 Ac.upf
Zn 65.41 Zn.upf
Au 196.97 Au.upf
ATOMIC_POSITIONS crystal
Ac 0.000 0.000 0.000
Ac 0.000 0.500 0.289
Ac 0.500 0.000 0.496
Ac 0.500 0.500 0.793
Zn 0.000 0.000 0.707
Zn 0.000 0.500 0.581
Zn 0.500 0.500 0.075
Au 0.500 0.000 0.214
CELL_PARAMETERS angstrom
4.120 0.000 0.000
0.000 4.756 0.000
0.000 0.000 12.442
```

- ρ (kg/m3) = 8862
- ΔE to the lowest computed polymorph (eV per atom) = 0.0209
- crystal system = orthorhombic
- volume (Å³ per atom) = 30.477
- uncorrected energy (eV for the cell shown) = -26.40


4.
LiMg after structural relaxation, computed with PBE-GGA. Values from VASP.

Geometry as Quantum ESPRESSO input:
```
&SYSTEM
  ibrav = 0, nat = 6, ntyp = 2
/
ATOMIC_SPECIES
Li 6.94 Li.upf
Mg 24.30 Mg.upf
ATOMIC_POSITIONS crystal
Li 0.000 0.000 0.000
Li 0.000 0.000 0.333
Li 0.667 0.333 0.835
Mg 0.000 0.000 0.670
Mg 0.667 0.333 0.168
Mg 0.667 0.333 0.498
CELL_PARAMETERS angstrom
3.130 0.000 0.000
-1.565 2.711 0.000
0.000 0.000 15.182
```

- ρ (kg/m3) = 1208
- crystal system = trigonal
- volume (Å³ per atom) = 21.472
- uncorrected energy (eV for the cell shown) = -10.67


5.
LaTbCe2 after structural relaxation, computed with PBE-GGA. Values from VASP.

Geometry as Quantum ESPRESSO input:
```
&SYSTEM
  ibrav = 0, nat = 4, ntyp = 3
/
ATOMIC_SPECIES
La 138.91 La.upf
Tb 158.93 Tb.upf
Ce 140.12 Ce.upf
ATOMIC_POSITIONS crystal
La 0.000 0.000 0.000
Tb 0.829 0.829 0.829
Ce 0.395 0.395 0.395
Ce 0.597 0.597 0.597
CELL_PARAMETERS angstrom
2.060 1.190 8.588
-2.060 1.190 8.588
0.000 -2.379 8.588
```

- ρ (kg/m3) = 7600
- ΔE to the lowest computed polymorph (eV per atom) = 0.3697
- crystal system = trigonal
- volume (Å³ per atom) = 31.576
- uncorrected energy (eV for the cell shown) = -19.51


6.
Ce3InF after structural relaxation, computed with PBE-GGA. Values from VASP.

Geometry as Quantum ESPRESSO input:
```
&SYSTEM
  ibrav = 0, nat = 5, ntyp = 3
/
ATOMIC_SPECIES
Ce 140.12 Ce.upf
In 114.82 In.upf
F 19.00 F.upf
ATOMIC_POSITIONS crystal
Ce 0.000 0.000 0.500
Ce 0.000 0.500 0.000
Ce 0.500 0.000 0.000
In 0.500 0.500 0.500
F 0.000 0.000 0.000
CELL_PARAMETERS angstrom
4.973 0.000 0.000
0.000 4.973 0.000
0.000 0.000 4.973
```

- ρ (kg/m3) = 7483
- crystal system = cubic
- volume (Å³ per atom) = 24.594
- uncorrected energy (eV for the cell shown) = -27.57


7.
Zr2TiCrHg after structural relaxation, computed with PBE-GGA. Values from VASP.

Geometry as Quantum ESPRESSO input:
```
&SYSTEM
  ibrav = 0, nat = 5, ntyp = 4
/
ATOMIC_SPECIES
Zr 91.22 Zr.upf
Ti 47.87 Ti.upf
Cr 52.00 Cr.upf
Hg 200.59 Hg.upf
ATOMIC_POSITIONS crystal
Zr 0.000 0.500 0.000
Zr 0.500 0.000 0.000
Ti 0.000 0.000 0.500
Cr 0.500 0.500 0.500
Hg 0.500 0.500 0.000
CELL_PARAMETERS angstrom
5.238 0.000 0.000
0.000 5.238 0.000
0.000 0.000 4.707
```

- ρ (kg/m3) = 6209
- crystal system = tetragonal
- volume (Å³ per atom) = 25.828
- uncorrected energy (eV for the cell shown) = -26.95


8.
NdNpAg2Te4 after structural relaxation, computed with PBE-GGA. Values from VASP.

Geometry as Quantum ESPRESSO input:
```
&SYSTEM
  ibrav = 0, nat = 8, ntyp = 4
/
ATOMIC_SPECIES
Nd 144.24 Nd.upf
Np 237.00 Np.upf
Ag 107.87 Ag.upf
Te 127.60 Te.upf
ATOMIC_POSITIONS crystal
Nd 0.000 0.000 0.000
Np 0.500 0.500 0.000
Ag 0.330 0.830 0.500
Ag 0.670 0.170 0.500
Te 0.047 0.548 0.995
Te 0.447 0.452 0.499
Te 0.553 0.052 0.005
Te 0.953 0.948 0.501
CELL_PARAMETERS angstrom
-3.841 3.842 4.131
3.841 -3.842 4.131
3.841 3.842 -4.131
```

- ρ (kg/m3) = 7541
- crystal system = orthorhombic
- volume (Å³ per atom) = 30.482
- uncorrected energy (eV for the cell shown) = -39.94


ρ of number 4 (LiMg)?
1208 kg/m3


Which formula does entry 7 have?
Zr2TiCrHg


What is the formula in the sixth record?
Ce3InF